An optimized crystal structure of Tb2ThSb, computed with PBE.

Summary:
total energy: -5.491 eV per atom
size of the total moment: 0.0 μB/f.u.
uncorrected formation energy: -0.29 eV/atom

a b c (Å): 9.861 9.861 9.861
angles (deg): 22.96 22.96 22.96
Fractional positions:
Tb 0.236 0.236 0.236
Tb 0.764 0.764 0.764
Th 0.000 0.000 0.000
Sb 0.500 0.500 0.500